No. 1
VASP calculation (GGA-PBE) on a geometry-optimized Nb2FeAg structure.

Cell lengths 4.543, 4.543, 4.543 Å; angles 60.00, 60.00, 60.00 degrees
Positions (direct):
Nb (0.250, 0.250, 0.250)
Nb (0.750, 0.750, 0.750)
Fe (0.000, 0.000, 0.000)
Ag (0.500, 0.500, 0.500)

## Properties
- DFT total energy (eV per atom) = -7.50
- crystal system = cubic
- formation energy (meV per atom) = 364
- SG = Fm-3m (225)

No. 2
VASP calculation (GGA-PBE) on a geometry-optimized CaSc2Cr structure.

Cell lengths 6.128, 6.128, 5.181 Å; angles 114.84, 114.84, 33.75 degrees
Positions (direct):
Ca (0.000, 0.000, 0.000)
Sc (0.214, 0.214, 0.713)
Sc (0.430, 0.430, 0.431)
Cr (0.733, 0.733, 0.232)

## Properties
- DFT total energy (eV per atom) = -5.69
- crystal system = monoclinic
- formation energy (meV per atom) = 380
- SG = Cm (8)

No. 3
VASP calculation (GGA-PBE) on a geometry-optimized IrAuSCl2 structure.

Cell lengths 4.723, 4.723, 4.868 Å; angles 90.00, 90.00, 90.00 degrees
Positions (direct):
Ir (0.000, 0.000, 0.000)
Au (0.500, 0.500, 0.000)
S (0.500, 0.500, 0.500)
Cl (0.000, 0.500, 0.500)
Cl (0.500, 0.000, 0.500)

## Properties
- DFT total energy (eV per atom) = -2.70
- crystal system = tetragonal
- energy relative to the elements, uncorrected (eV per atom) = 1.29
- SG = P4/mmm (123)

No. 4
VASP calculation (GGA-PBE) on a geometry-optimized Sr2BeRe structure.

Cell lengths 5.689, 5.689, 3.022 Å; angles 90.00, 90.00, 90.11 degrees
Positions (direct):
Sr (0.000, 0.500, 0.000)
Sr (0.500, 0.000, 0.000)
Be (0.000, 0.000, 0.500)
Re (0.500, 0.500, 0.500)

## Properties
- DFT total energy (eV per atom) = -3.77
- crystal system = orthorhombic
- formation energy (meV per atom) = 1112
- SG = Cmmm (65)

No. 5
VASP calculation (GGA-PBE) on a geometry-optimized Sc2PaN structure.

Cell lengths 8.911, 8.911, 8.911 Å; angles 20.28, 20.28, 20.28 degrees
Positions (direct):
Sc (0.119, 0.119, 0.119)
Sc (0.881, 0.881, 0.881)
Pa (0.000, 0.000, 0.000)
N (0.500, 0.500, 0.500)

## Properties
- DFT total energy (eV per atom) = -8.42
- crystal system = trigonal
- energy relative to the elements, uncorrected (eV per atom) = -0.80
- SG = R-3m (166)

No. 6
VASP calculation (GGA-PBE) on a geometry-optimized Ho7Mg2Os2 structure.

Cell lengths 6.785, 6.785, 7.205 Å; angles 90.00, 90.00, 105.54 degrees
Positions (direct):
Ho (0.000, 0.000, 0.000)
Ho (0.000, 0.500, 0.244)
Ho (0.000, 0.500, 0.756)
Ho (0.500, 0.000, 0.244)
Ho (0.500, 0.000, 0.756)
Ho (0.500, 0.500, 0.234)
Ho (0.500, 0.500, 0.766)
Mg (0.173, 0.173, 0.500)
Mg (0.827, 0.827, 0.500)
Os (0.288, 0.712, 0.000)
Os (0.712, 0.288, 0.000)

## Properties
- DFT total energy (eV per atom) = -5.28
- crystal system = orthorhombic
- formation energy (meV per atom) = -35
- SG = Cmmm (65)

No. 7
VASP calculation (GGA-PBE) on a geometry-optimized Sr2As2Br structure.

Cell lengths 8.469, 8.469, 4.235 Å; angles 90.00, 90.00, 90.00 degrees
Positions (direct):
Sr (0.183, 0.317, 0.000)
Sr (0.317, 0.817, 0.000)
Sr (0.683, 0.183, 0.000)
Sr (0.817, 0.683, 0.000)
As (0.101, 0.601, 0.500)
As (0.399, 0.101, 0.500)
As (0.601, 0.899, 0.500)
As (0.899, 0.399, 0.500)
Br (0.000, 0.000, 0.000)
Br (0.500, 0.500, 0.000)

## Properties
- DFT total energy (eV per atom) = -4.06
- crystal system = tetragonal
- energy relative to the elements, uncorrected (eV per atom) = -1.20
- SG = P4/mbm (127)

No. 8
VASP calculation (GGA-PBE) on a geometry-optimized TmTh2Zr structure.

Cell lengths 3.475, 3.475, 9.751 Å; angles 90.00, 90.00, 90.00 degrees
Positions (direct):
Tm (0.000, 0.000, 0.000)
Th (0.500, 0.500, 0.262)
Th (0.500, 0.500, 0.738)
Zr (0.000, 0.000, 0.500)

## Properties
- DFT total energy (eV per atom) = -6.88
- crystal system = tetragonal
- formation energy (meV per atom) = 83
- SG = P4/mmm (123)

No. 9
VASP calculation (GGA-PBE) on a geometry-optimized InSiGe2P4 structure.

Cell lengths 6.462, 5.726, 6.201 Å; angles 65.48, 53.72, 60.80 degrees
Positions (direct):
In (0.000, 0.000, 0.000)
Si (0.526, 0.526, 0.474)
Ge (0.251, 0.251, 0.249)
Ge (0.751, 0.751, 0.749)
P (0.204, 0.650, 0.350)
P (0.464, 0.922, 0.536)
P (0.650, 0.204, 0.796)
P (0.922, 0.464, 0.078)

## Properties
- DFT total energy (eV per atom) = -4.87
- crystal system = orthorhombic
- energy relative to the elements, uncorrected (eV per atom) = 0.01
- SG = Fmm2 (42)

No. 10
VASP calculation (GGA-PBE) on a geometry-optimized MnCo2Cu structure.

Cell lengths 8.360, 8.360, 8.360 Å; angles 17.10, 17.10, 17.10 degrees
Positions (direct):
Mn (0.000, 0.000, 0.000)
Co (0.253, 0.253, 0.253)
Co (0.747, 0.747, 0.747)
Cu (0.500, 0.500, 0.500)

## Properties
- DFT total energy (eV per atom) = -6.75
- crystal system = trigonal
- formation energy (meV per atom) = 121
- SG = R-3m (166)

No. 11
VASP calculation (GGA-PBE) on a geometry-optimized ScZnGa structure.

Cell lengths 7.308, 7.308, 7.308 Å; angles 25.19, 25.19, 25.19 degrees
Positions (direct):
Sc (0.000, 0.000, 0.000)
Zn (0.561, 0.561, 0.561)
Ga (0.132, 0.132, 0.132)

## Properties
- DFT total energy (eV per atom) = -3.47
- crystal system = trigonal
- formation energy (meV per atom) = 71
- SG = R3m (160)